{"formula": "Zn4Ni15Rh", "functional": "PBE-GGA", "state": "optimized geometry", "formation_enthalpy_0k_kj_per_mol_fu": -169, "m_tot_mub_per_cell": 7.2, "lattice_angstrom": [[3.5938, 0.0000, 0.0000], [0.0000, 3.5938, 0.0000], [0.0000, 0.0000, 17.8465]], "species": ["Zn", "Zn", "Zn", "Zn", "Ni", "Ni", "Ni", "Ni", "Ni", "Ni", "Ni", "Ni", "Ni", "Ni", "Ni", "Ni", "Ni", "Ni", "Ni", "Rh"], "frac_coords": [[0.0000, 0.0000, 0.0996], [0.0000, 0.0000, 0.2978], [0.0000, 0.0000, 0.7022], [0.0000, 0.0000, 0.9004], [0.0000, 0.5000, 0.0000], [0.0000, 0.5000, 0.1993], [0.0000, 0.5000, 0.3988], [0.0000, 0.5000, 0.6012], [0.0000, 0.5000, 0.8007], [0.5000, 0.0000, 0.0000], [0.5000, 0.0000, 0.1993], [0.5000, 0.0000, 0.3988], [0.5000, 0.0000, 0.6012], [0.5000, 0.0000, 0.8007], [0.5000, 0.5000, 0.0997], [0.5000, 0.5000, 0.2993], [0.5000, 0.5000, 0.5000], [0.5000, 0.5000, 0.7007], [0.5000, 0.5000, 0.9003], [0.0000, 0.0000, 0.5000]]}

=====

{"formula": "ZrTlSb2", "functional": "PBE-GGA", "state": "optimized geometry", "de_polymorph_ev_per_atom": 0.310, "m_tot_mub_per_cell": 0.0, "lattice_angstrom": [[3.8796, 0.0000, 0.0000], [0.0000, 4.9486, 0.0000], [0.0000, 0.0000, 5.2716]], "species": ["Zr", "Tl", "Sb", "Sb"], "frac_coords": [[0.0000, 0.0000, 0.0000], [0.5000, 0.0000, 0.5000], [0.0000, 0.5000, 0.5000], [0.5000, 0.5000, 0.0000]]}

=====

{"formula": "TbHo2ThSe4", "functional": "PBE-GGA", "state": "optimized geometry", "final_energy_ev_per_atom": -6.069, "m_tot_mub_per_cell": 0.0, "lattice_angstrom": [[7.1092, 0.0000, 0.0000], [0.0000, 4.0552, 0.0000], [-2.3271, 0.0000, 6.7878]], "species": ["Tb", "Ho", "Ho", "Th", "Se", "Se", "Se", "Se"], "frac_coords": [[0.0000, 0.0000, 0.0000], [0.0000, 0.5000, 0.5000], [0.5000, 0.0000, 0.5000], [0.5000, 0.5000, 0.0000], [0.2403, 0.0000, 0.7376], [0.2476, 0.5000, 0.2581], [0.7524, 0.5000, 0.7419], [0.7597, 0.0000, 0.2624]]}

=====

{"formula": "Na12MgCd3", "functional": "PBE-GGA", "state": "optimized geometry", "formation_enthalpy_0k_kj_per_mol_fu": -11, "m_tot_mub_per_cell": 0.0, "lattice_angstrom": [[4.9702, 0.0000, 0.0000], [0.0000, 4.9702, 0.0000], [0.0000, 0.0000, 19.8189]], "species": ["Na", "Na", "Na", "Na", "Na", "Na", "Na", "Na", "Na", "Na", "Na", "Na", "Mg", "Cd", "Cd", "Cd"], "frac_coords": [[0.0000, 0.0000, 0.0000], [0.0000, 0.0000, 0.2462], [0.0000, 0.0000, 0.5000], [0.0000, 0.0000, 0.7538], [0.0000, 0.5000, 0.1233], [0.0000, 0.5000, 0.3695], [0.0000, 0.5000, 0.6305], [0.0000, 0.5000, 0.8767], [0.5000, 0.0000, 0.1233], [0.5000, 0.0000, 0.3695], [0.5000, 0.0000, 0.6305], [0.5000, 0.0000, 0.8767], [0.5000, 0.5000, 0.5000], [0.5000, 0.5000, 0.0000], [0.5000, 0.5000, 0.2464], [0.5000, 0.5000, 0.7536]]}

=====

{"formula": "Sn2Ge2Te", "functional": "PBE-GGA", "state": "optimized geometry", "de_polymorph_ev_per_atom": 0.097, "m_tot_mub_per_cell": 0.0, "lattice_angstrom": [[9.1401, 0.0000, 0.0000], [0.0000, 9.1401, 0.0000], [0.0000, 0.0000, 3.1069]], "species": ["Sn", "Sn", "Sn", "Sn", "Ge", "Ge", "Ge", "Ge", "Te", "Te"], "frac_coords": [[0.1882, 0.3118, 0.0000], [0.3118, 0.8118, 0.0000], [0.6882, 0.1882, 0.0000], [0.8118, 0.6882, 0.0000], [0.1047, 0.6047, 0.5000], [0.3953, 0.1047, 0.5000], [0.6047, 0.8953, 0.5000], [0.8953, 0.3953, 0.5000], [0.0000, 0.0000, 0.0000], [0.5000, 0.5000, 0.0000]]}

=====

{"formula": "Ca12Sb3F5", "functional": "PBE-GGA", "state": "optimized geometry", "final_energy_ev_per_atom": -3.946, "m_tot_mub_per_cell": 0.0, "lattice_angstrom": [[-8.1750, 8.1750, 8.1750], [8.1750, -8.1750, 8.1750], [8.1750, 8.1750, -8.1750]], "species": ["Ca", "Ca", "Ca", "Ca", "Ca", "Ca", "Ca", "Ca", "Ca", "Ca", "Ca", "Ca", "Ca", "Ca", "Ca", "Ca", "Ca", "Ca", "Ca", "Ca", "Ca", "Ca", "Ca", "Ca", "Ca", "Ca", "Ca", "Ca", "Ca", "Ca", "Ca", "Ca", "Ca", "Ca", "Ca", "Ca", "Ca", "Ca", "Ca", "Ca", "Ca", "Ca", "Ca", "Ca", "Ca", "Ca", "Ca", "Ca", "Sb", "Sb", "Sb", "Sb", "Sb", "Sb", "Sb", "Sb", "Sb", "Sb", "Sb", "Sb", "F", "F", "F", "F", "F", "F", "F", "F", "F", "F", "F", "F", "F", "F", "F", "F", "F", "F", "F", "F"], "frac_coords": [[0.0157, 0.2081, 0.1142], [0.0157, 0.3076, 0.9015], [0.0938, 0.7081, 0.6924], [0.0938, 0.8858, 0.4015], [0.0985, 0.6142, 0.4062], [0.0985, 0.9843, 0.6924], [0.1142, 0.0157, 0.2081], [0.1142, 0.5985, 0.9062], [0.1924, 0.2081, 0.5938], [0.1924, 0.4843, 0.5985], [0.2081, 0.1142, 0.0157], [0.2081, 0.5938, 0.1924], [0.2919, 0.3076, 0.9062], [0.2919, 0.4843, 0.3858], [0.3076, 0.9015, 0.0157], [0.3076, 0.9062, 0.2919], [0.3858, 0.2919, 0.4843], [0.3858, 0.5938, 0.9015], [0.4015, 0.0938, 0.8858], [0.4015, 0.8076, 0.5157], [0.4062, 0.0985, 0.6142], [0.4062, 0.8076, 0.7919], [0.4843, 0.3858, 0.2919], [0.4843, 0.5985, 0.1924], [0.5157, 0.4015, 0.8076], [0.5157, 0.6142, 0.7081], [0.5938, 0.1924, 0.2081], [0.5938, 0.9015, 0.3858], [0.5985, 0.1924, 0.4843], [0.5985, 0.9062, 0.1142], [0.6142, 0.4062, 0.0985], [0.6142, 0.7081, 0.5157], [0.6924, 0.0938, 0.7081], [0.6924, 0.0985, 0.9843], [0.7081, 0.5157, 0.6142], [0.7081, 0.6924, 0.0938], [0.7919, 0.4062, 0.8076], [0.7919, 0.8858, 0.9843], [0.8076, 0.5157, 0.4015], [0.8076, 0.7919, 0.4062], [0.8858, 0.4015, 0.0938], [0.8858, 0.9843, 0.7919], [0.9015, 0.0157, 0.3076], [0.9015, 0.3858, 0.5938], [0.9062, 0.1142, 0.5985], [0.9062, 0.2919, 0.3076], [0.9843, 0.6924, 0.0985], [0.9843, 0.7919, 0.8858], [0.1250, 0.2500, 0.3750], [0.1250, 0.3750, 0.7500], [0.2500, 0.3750, 0.1250], [0.2500, 0.8750, 0.6250], [0.3750, 0.1250, 0.2500], [0.3750, 0.7500, 0.1250], [0.6250, 0.2500, 0.8750], [0.6250, 0.8750, 0.7500], [0.7500, 0.1250, 0.3750], [0.7500, 0.6250, 0.8750], [0.8750, 0.6250, 0.2500], [0.8750, 0.7500, 0.6250], [0.0000, 0.0000, 0.0000], [0.0000, 0.0000, 0.5000], [0.0000, 0.5000, 0.0000], [0.0000, 0.5000, 0.5000], [0.1250, 0.7500, 0.8750], [0.1250, 0.8750, 0.2500], [0.2500, 0.1250, 0.8750], [0.2500, 0.6250, 0.3750], [0.3750, 0.2500, 0.6250], [0.3750, 0.6250, 0.7500], [0.5000, 0.0000, 0.0000], [0.5000, 0.0000, 0.5000], [0.5000, 0.5000, 0.0000], [0.5000, 0.5000, 0.5000], [0.6250, 0.3750, 0.2500], [0.6250, 0.7500, 0.3750], [0.7500, 0.3750, 0.6250], [0.7500, 0.8750, 0.1250], [0.8750, 0.1250, 0.7500], [0.8750, 0.2500, 0.1250]]}

=====

{"formula": "Pr7PSe5", "functional": "PBE-GGA", "state": "optimized geometry", "final_energy_ev_per_atom": -5.947, "m_tot_mub_per_cell": 0.0, "lattice_angstrom": [[6.9813, -2.0745, 0.0000], [6.9813, 2.0745, 0.0000], [-0.0048, 0.0000, 25.2295]], "species": ["Pr", "Pr", "Pr", "Pr", "Pr", "Pr", "Pr", "Pr", "Pr", "Pr", "Pr", "Pr", "Pr", "Pr", "P", "P", "Se", "Se", "Se", "Se", "Se", "Se", "Se", "Se", "Se", "Se"], "frac_coords": [[0.0000, 0.0000, 0.0000], [0.0818, 0.0818, 0.2840], [0.1671, 0.1671, 0.7840], [0.2489, 0.2489, 0.5001], [0.2776, 0.2776, 0.0757], [0.4131, 0.4131, 0.7182], [0.4342, 0.4342, 0.8541], [0.5203, 0.5203, 0.4153], [0.5584, 0.5584, 0.1425], [0.6909, 0.6909, 0.6427], [0.7285, 0.7285, 0.9151], [0.8146, 0.8146, 0.3542], [0.8360, 0.8360, 0.2182], [0.9715, 0.9715, 0.5758], [0.4349, 0.4349, 0.3023], [0.8140, 0.8140, 0.8020], [0.0554, 0.0554, 0.6836], [0.0805, 0.0805, 0.8904], [0.1683, 0.1683, 0.3905], [0.1938, 0.1938, 0.1836], [0.3324, 0.3324, 0.6096], [0.3593, 0.3593, 0.9636], [0.6059, 0.6059, 0.5325], [0.6431, 0.6431, 0.0323], [0.8895, 0.8895, 0.4637], [0.9167, 0.9167, 0.1096]]}

=====

{"formula": "LiMnBr2", "functional": "PBE-GGA", "state": "optimized geometry", "de_polymorph_ev_per_atom": 0.151, "m_tot_mub_per_cell": 4.1, "lattice_angstrom": [[-1.8570, 3.7765, 3.8175], [1.8570, -3.7765, 3.8175], [1.8570, 3.7765, -3.8175]], "species": ["Li", "Mn", "Br", "Br"], "frac_coords": [[0.0000, 0.0000, 0.0000], [0.5000, 0.0000, 0.5000], [0.2550, 0.5000, 0.7550], [0.7450, 0.5000, 0.2450]]}

=====

{"formula": "Zn2Cd2GeAu5", "functional": "PBE-GGA", "state": "optimized geometry", "formation_enthalpy_0k_kj_per_mol_fu": -62, "m_tot_mub_per_cell": 0.0, "lattice_angstrom": [[9.9138, 0.0000, 0.0000], [0.0000, 9.9138, 0.0000], [0.0000, 0.0000, 3.8501]], "species": ["Zn", "Zn", "Zn", "Zn", "Cd", "Cd", "Cd", "Cd", "Ge", "Ge", "Au", "Au", "Au", "Au", "Au", "Au", "Au", "Au", "Au", "Au"], "frac_coords": [[0.1298, 0.3702, 0.0000], [0.3702, 0.8702, 0.0000], [0.6298, 0.1298, 0.0000], [0.8702, 0.6298, 0.0000], [0.1639, 0.6639, 0.0000], [0.3361, 0.1639, 0.0000], [0.6639, 0.8361, 0.0000], [0.8361, 0.3361, 0.0000], [0.0000, 0.0000, 0.0000], [0.5000, 0.5000, 0.0000], [0.0000, 0.5000, 0.5000], [0.1041, 0.1836, 0.5000], [0.1836, 0.8959, 0.5000], [0.3164, 0.3959, 0.5000], [0.3959, 0.6836, 0.5000], [0.5000, 0.0000, 0.5000], [0.6041, 0.3164, 0.5000], [0.6836, 0.6041, 0.5000], [0.8164, 0.1041, 0.5000], [0.8959, 0.8164, 0.5000]]}

=====

{"formula": "Zn9InPt2", "functional": "PBE-GGA", "state": "optimized geometry", "formation_enthalpy_0k_kj_per_mol_fu": -216, "m_tot_mub_per_cell": 0.0, "lattice_angstrom": [[-5.3837, 5.3837, 3.4629], [5.3837, -5.3837, 3.4629], [5.3837, 5.3837, -3.4629]], "species": ["Zn", "Zn", "Zn", "Zn", "Zn", "Zn", "Zn", "Zn", "Zn", "Zn", "Zn", "Zn", "Zn", "Zn", "Zn", "Zn", "Zn", "Zn", "In", "In", "Pt", "Pt", "Pt", "Pt"], "frac_coords": [[0.0567, 0.2212, 0.4214], [0.0567, 0.6353, 0.8355], [0.2212, 0.0567, 0.9214], [0.2212, 0.2998, 0.1645], [0.2998, 0.2212, 0.6645], [0.2998, 0.6353, 0.0786], [0.3647, 0.7002, 0.4214], [0.3647, 0.9433, 0.6645], [0.3750, 0.6250, 0.7500], [0.6250, 0.3750, 0.2500], [0.6353, 0.0567, 0.3355], [0.6353, 0.2998, 0.5786], [0.7002, 0.3647, 0.9214], [0.7002, 0.7788, 0.3355], [0.7788, 0.7002, 0.8355], [0.7788, 0.9433, 0.0786], [0.9433, 0.3647, 0.1645], [0.9433, 0.7788, 0.5786], [0.1250, 0.8750, 0.2500], [0.8750, 0.1250, 0.7500], [0.0000, 0.5000, 0.5000], [0.5000, 0.0000, 0.0000], [0.5000, 0.5000, 0.0000], [0.5000, 0.5000, 0.5000]]}

=====

{"formula": "La2SnPd2", "functional": "PBE-GGA", "state": "optimized geometry", "formation_enthalpy_0k_kj_per_mol_fu": -321, "m_tot_mub_per_cell": 0.0, "lattice_angstrom": [[-1.9591, 1.9591, 8.7127], [1.9591, -1.9591, 8.7127], [1.9591, 1.9591, -8.7127]], "species": ["La", "La", "Sn", "Pd", "Pd"], "frac_coords": [[0.1206, 0.1206, 0.0000], [0.8794, 0.8794, 0.0000], [0.5000, 0.5000, 0.0000], [0.2500, 0.7500, 0.5000], [0.7500, 0.2500, 0.5000]]}

=====

{"formula": "MnNbS3", "functional": "PBE-GGA", "state": "optimized geometry", "de_polymorph_ev_per_atom": 0.984, "m_tot_mub_per_cell": 0.0, "lattice_angstrom": [[4.3427, 0.0000, 0.0000], [0.0000, 4.3427, 0.0000], [0.0000, 0.0000, 4.3427]], "species": ["Mn", "Nb", "S", "S", "S"], "frac_coords": [[0.0000, 0.0000, 0.0000], [0.5000, 0.5000, 0.5000], [0.0000, 0.0000, 0.5000], [0.0000, 0.5000, 0.0000], [0.5000, 0.0000, 0.0000]]}

=====

{"formula": "Co3Ni4W", "functional": "PBE-GGA", "state": "optimized geometry", "formation_enthalpy_0k_kj_per_mol_fu": -1, "m_tot_mub_per_cell": 4.7, "lattice_angstrom": [[-1.7668, 1.7668, 7.3225], [1.7668, -1.7668, 7.3225], [1.7668, 1.7668, -7.3225]], "species": ["Co", "Co", "Co", "Ni", "Ni", "Ni", "Ni", "W"], "frac_coords": [[0.0000, 0.0000, 0.0000], [0.2464, 0.2464, 0.0000], [0.7536, 0.7536, 0.0000], [0.1273, 0.6273, 0.5000], [0.3727, 0.8727, 0.5000], [0.6273, 0.1273, 0.5000], [0.8727, 0.3727, 0.5000], [0.5000, 0.5000, 0.0000]]}

=====

{"formula": "BeAlSb4", "functional": "PBE-GGA", "state": "optimized geometry", "final_energy_ev_per_atom": -3.248, "m_tot_mub_per_cell": 0.0, "lattice_angstrom": [[0.0000, 4.3719, 4.3719], [4.3719, 0.0000, 4.3719], [4.3719, 4.3719, 0.0000]], "species": ["Be", "Al", "Sb", "Sb", "Sb", "Sb"], "frac_coords": [[0.0000, 0.0000, 0.0000], [0.2500, 0.2500, 0.2500], [0.1247, 0.6251, 0.6251], [0.6251, 0.1247, 0.6251], [0.6251, 0.6251, 0.1247], [0.6251, 0.6251, 0.6251]]}

=====

{"formula": "RbMg14BO15", "functional": "PBE-GGA", "state": "optimized geometry", "de_polymorph_ev_per_atom": 0.102, "m_tot_mub_per_cell": 0.8, "lattice_angstrom": [[4.3473, 0.0000, 0.0000], [0.0000, 8.8809, 0.0000], [0.0000, 0.0000, 8.5737]], "species": ["Rb", "Mg", "Mg", "Mg", "Mg", "Mg", "Mg", "Mg", "Mg", "Mg", "Mg", "Mg", "Mg", "Mg", "Mg", "B", "O", "O", "O", "O", "O", "O", "O", "O", "O", "O", "O", "O", "O", "O", "O"], "frac_coords": [[0.0000, 0.0000, 0.0000], [0.0000, 0.0000, 0.4367], [0.0000, 0.2301, 0.6780], [0.0000, 0.2838, 0.1924], [0.0000, 0.5000, 0.9249], [0.0000, 0.7162, 0.1924], [0.0000, 0.7699, 0.6780], [0.5000, 0.0000, 0.1945], [0.5000, 0.0000, 0.6786], [0.5000, 0.2535, 0.4294], [0.5000, 0.2537, 0.9178], [0.5000, 0.5000, 0.1772], [0.5000, 0.5000, 0.6715], [0.5000, 0.7463, 0.9178], [0.5000, 0.7465, 0.4294], [0.0000, 0.5000, 0.4832], [0.0000, 0.0000, 0.6663], [0.0000, 0.2347, 0.4246], [0.0000, 0.2763, 0.9143], [0.0000, 0.5000, 0.1573], [0.0000, 0.5000, 0.6402], [0.0000, 0.7237, 0.9143], [0.0000, 0.7653, 0.4246], [0.5000, 0.0000, 0.4270], [0.5000, 0.0000, 0.9093], [0.5000, 0.2454, 0.1752], [0.5000, 0.2549, 0.6710], [0.5000, 0.5000, 0.4278], [0.5000, 0.5000, 0.9146], [0.5000, 0.7451, 0.6710], [0.5000, 0.7546, 0.1752]]}

=====

{"formula": "Sm4Tl2GaHg", "functional": "PBE-GGA", "state": "optimized geometry", "formation_enthalpy_0k_kj_per_mol_fu": -335, "m_tot_mub_per_cell": 0.0, "lattice_angstrom": [[2.6909, 1.5536, 8.7428], [-2.6909, 1.5536, 8.7428], [0.0000, -3.1072, 8.7428]], "species": ["Sm", "Sm", "Sm", "Sm", "Tl", "Tl", "Ga", "Hg"], "frac_coords": [[0.1211, 0.1211, 0.1211], [0.3718, 0.3718, 0.3718], [0.6282, 0.6282, 0.6282], [0.8789, 0.8789, 0.8789], [0.2459, 0.2459, 0.2459], [0.7541, 0.7541, 0.7541], [0.0000, 0.0000, 0.0000], [0.5000, 0.5000, 0.5000]]}

=====

{"formula": "Nd2ScAl", "functional": "PBE-GGA", "state": "optimized geometry", "de_polymorph_ev_per_atom": 0.061, "formation_enthalpy_0k_kj_per_mol_fu": -40, "m_tot_mub_per_cell": 0.5, "lattice_angstrom": [[3.6871, 0.0000, 0.0000], [0.0000, 3.6871, 0.0000], [0.0000, 0.0000, 8.2730]], "species": ["Nd", "Nd", "Sc", "Al"], "frac_coords": [[0.0000, 0.0000, 0.2277], [0.0000, 0.0000, 0.7723], [0.5000, 0.5000, 0.5000], [0.5000, 0.5000, 0.0000]]}

=====

{"formula": "Tl2ReHg", "functional": "PBE-GGA", "state": "optimized geometry", "de_polymorph_ev_per_atom": 0.054, "formation_enthalpy_0k_kj_per_mol_fu": 287, "m_tot_mub_per_cell": 0.0, "lattice_angstrom": [[1.6625, -2.4500, 0.0000], [1.6625, 2.4500, 0.0000], [0.0000, 0.0000, 11.8407]], "species": ["Tl", "Tl", "Re", "Hg"], "frac_coords": [[0.0000, 0.0000, 0.2145], [0.0000, 0.0000, 0.7855], [0.5000, 0.5000, 0.0000], [0.5000, 0.5000, 0.5000]]}